[1]
4
Lattice="0.000 3.662 3.662 3.662 0.000 3.662 3.662 3.662 0.000" Properties=species:S:1:pos:R:3 comment="Y2InS | Alexandria via LeMat-Bulk | PBE-GGA | optimized geometry" polymorph_energy_kj_per_mol_atoms=55.7 formation_energy_uncorrected_ev_per_atom=-0.659 spacegroup="Fm-3m (225)" dos_ef_per_ev_cell=4.63 pbc="T T T"
In 3.662 3.662 3.662
Y 5.493 5.493 5.493
Y 1.831 1.831 1.831
S 0.000 0.000 0.000

[2]
20
Lattice="-0.459 1.985 2.223 -2.677 -6.700 5.428 8.513 -1.148 2.781" Properties=species:S:1:pos:R:3 comment="Ho2AlCo5B2 | Alexandria via LeMat-Bulk | PBE-GGA | optimized geometry" ef_ev_per_atom=-0.443 spacegroup="P4/mbm (127)" dos_ef_per_ev_cell=11.81 pbc="T T T"
B -0.015 -2.693 2.401
B 4.947 -1.502 2.362
B 5.851 -5.155 5.809
B 0.889 -6.346 5.848
Ho -0.300 -4.747 4.175
Ho 3.571 -6.286 6.348
Ho 2.265 -1.562 1.862
Ho 6.136 -3.101 4.035
Co 1.500 -4.380 6.264
Co 4.446 -3.649 6.219
Co 0.931 -2.215 4.214
Co 3.877 -1.483 4.169
Co -0.261 -0.613 2.538
Co -1.568 -2.358 3.826
Co 6.162 -0.350 3.628
Co 5.638 -5.251 7.895
Co 4.027 0.418 2.502
Co -0.785 -5.514 6.805
Al 2.918 -3.924 4.105
Al 0.000 0.000 0.000

[3]
4
Lattice="2.852 0.000 4.944 -1.426 2.470 4.944 -1.426 -2.470 4.944" Properties=species:S:1:pos:R:3 comment="AgS2Br | Alexandria via LeMat-Bulk | PBE-GGA | optimized geometry" polymorph_energy_kj_per_mol_atoms=36.9 formation_energy_uncorrected_ev_per_atom=0.551 spacegroup="R-3m (166)" dos_ef_per_ev_cell=2.23 pbc="T T T"
S 0.000 0.000 2.361
S 0.000 0.000 12.470
Ag 0.000 0.000 0.000
Br 0.000 0.000 7.415